This record from Alexandria via LeMat-Bulk describes a geometry-optimized NaTl6Sn2 structure. The functional is PBE.

The structure belongs to space group C2/c (No. 15); the cell edges are 11.635, 12.306 and 8.187 Å and the angles 90.00°, 108.44° and 90.00°. The inequivalent atoms are Na at (0.000, 0.173, 0.250), Tl at (0.111, 0.205, 0.938), Tl at (0.152, 0.042, 0.621), Tl at (0.186, 0.333, 0.620) and Sn at (0.077, 0.421, 0.133).

As for the energy above the most stable polymorph in this dataset: 28 meV per atom. For the formation energy, the calculation gives 0.008 eV/atom.

***

This record from Alexandria via LeMat-Bulk describes a geometry-optimized MgZnSb2Te structure. The functional is PBE.

The structure belongs to space group P4/mmm (No. 123); the cell edges are 5.155, 5.155 and 5.576 Å and the angles 90.00°, 90.00° and 90.00°. The inequivalent atoms are Mg at (0.000, 0.000, 0.000), Zn at (0.500, 0.500, 0.500), Sb at (0.000, 0.500, 0.500) and Te at (0.500, 0.500, 0.000).

As for the energy above the most stable polymorph in this dataset: 0 meV per atom. As for the uncorrected formation energy: 0.4149 eV/atom.

***

This record from Alexandria via LeMat-Bulk describes a geometry-optimized RhSe2IN structure. The functional is PBE.

The structure belongs to space group P4/mmm (No. 123); the cell edges are 5.240, 5.240 and 3.706 Å and the angles 90.00°, 90.00° and 90.00°. The inequivalent atoms are Rh at (0.000, 0.000, 0.000), Se at (0.000, 0.500, 0.000), I at (0.500, 0.500, 0.500) and N at (0.000, 0.000, 0.500).

As for the energy above the most stable polymorph in this dataset: 0 meV per atom. As for the uncorrected formation energy: 0.5568 eV/atom.

***

This record from Alexandria via LeMat-Bulk describes a geometry-optimized RbLiCuF6 structure. The functional is PBE.

The structure belongs to space group Imma (No. 74); the cell edges are 6.791, 7.616 and 10.117 Å and the angles 90.00°, 90.00° and 90.00°. The inequivalent atoms are Rb at (0.000, 0.250, 0.110), Li at (0.250, 0.250, 0.750), Cu at (0.000, 0.000, 0.500), F at (0.000, 0.250, 0.451), F at (0.000, 0.250, 0.835) and F at (0.192, 0.035, 0.622).

As for the uncorrected formation energy: -1.9440 eV/atom.

***

This record from Alexandria via LeMat-Bulk describes a geometry-optimized CsSc2Si structure. The functional is PBE.

The structure belongs to space group R-3m (No. 166, hexagonal axes); the cell edges are 3.4015, 3.4015 and 36.9263 Å and the angles 90.00°, 90.00° and 120.00°. The inequivalent atoms are Cs at (0.0000, 0.0000, 0.0000), Sc at (0.0000, 0.0000, 0.4282) and Si at (0.0000, 0.0000, 0.5000).

As for the energy above the most stable polymorph in this dataset: 673 meV per atom. As for the uncorrected formation energy: 0.7718 eV/atom.

***

This record from Alexandria via LeMat-Bulk describes a geometry-optimized SrFeHg structure. The functional is PBE.

The structure belongs to space group I4mm (No. 107); the cell edges are 3.652, 3.652 and 11.185 Å and the angles 90.00°, 90.00° and 90.00°. The inequivalent atoms are Sr at (0.000, 0.000, 0.000), Fe at (0.000, 0.000, 0.701) and Hg at (0.000, 0.000, 0.293).

For the formation energy, the calculation gives 0.297 eV/atom.

***

This record from Alexandria via LeMat-Bulk describes a geometry-optimized ReAgOs2 structure. The functional is PBE.

The structure belongs to space group P4mm (No. 99); the cell edges are 2.737, 2.737 and 8.146 Å and the angles 90.00°, 90.00° and 90.00°. The inequivalent atoms are Re at (0.000, 0.000, 0.000), Ag at (0.500, 0.500, 0.266), Os at (0.000, 0.000, 0.533) and Os at (0.500, 0.500, 0.757).

As for the energy above the most stable polymorph in this dataset: 198 meV per atom. For the formation energy, the calculation gives 0.464 eV/atom.

***

This record from Alexandria via LeMat-Bulk describes a geometry-optimized Tb2In3Hg4 structure. The functional is PBE.

The structure belongs to space group Cmce (No. 64); the cell edges are 6.336, 16.583 and 8.677 Å and the angles 90.00°, 90.00° and 90.00°. The inequivalent atoms are Tb at (0.000, 0.111, 0.079), In at (0.000, 0.000, 0.500), In at (0.250, 0.219, 0.750), Hg at (0.000, 0.174, 0.451) and Hg at (0.250, 0.045, 0.750).

For the formation energy, the calculation gives -0.208 eV/atom.

***

This record from Alexandria via LeMat-Bulk describes a geometry-optimized Mg4H2Ir3 structure. The functional is PBE.

The structure belongs to space group P-1 (No. 2); the cell edges are 4.436, 4.840 and 6.679 Å and the angles 106.50°, 109.39° and 90.03°. The inequivalent atoms are Mg at (0.064, 0.298, 0.127), Mg at (0.268, 0.782, 0.536), H at (0.249, 0.213, 0.500), Ir at (0.387, 0.378, 0.775) and Ir at (0.500, 0.000, 0.000).

As for the energy above the most stable polymorph in this dataset: 33 meV per atom.

***

This record from Alexandria via LeMat-Bulk describes a geometry-optimized Sm3Th2N4 structure. The functional is PBE.

The structure belongs to space group C2/m (No. 12); the cell edges are 12.018, 3.637 and 8.917 Å and the angles 90.00°, 119.74° and 90.00°. The inequivalent atoms are Sm at (0.000, 0.000, 0.000), Sm at (0.208, 0.000, 0.813), Th at (0.101, 0.500, 0.388), N at (0.099, 0.500, 0.896) and N at (0.196, 0.000, 0.304).

As for the uncorrected formation energy: -1.2927 eV/atom.

***

This record from Alexandria via LeMat-Bulk describes a geometry-optimized ScTiCu structure. The functional is PBE.

The structure belongs to space group P-1 (No. 2); the cell edges are 4.492, 5.474 and 5.505 Å and the angles 118.72°, 114.01° and 90.09°. The inequivalent atoms are Sc at (0.172, 0.084, 0.344), Ti at (0.449, 0.705, 0.900) and Cu at (0.141, 0.566, 0.280).

As for the energy above the most stable polymorph in this dataset: 52 meV per atom. For the formation energy, the calculation gives -0.031 eV/atom.